# 1
An optimized crystal structure of La2GaCoTc. Source: Alexandria, functional GGA-PBE.

POSCAR file:
```
La2GaCoTc
1.0
5.659 0.000 0.000
0.000 5.659 0.000
0.000 0.000 4.277
La Ga Co Tc
2 1 1 1
direct
0.000 0.500 0.000
0.500 0.000 0.000
0.000 0.000 0.000
0.000 0.000 0.500
0.500 0.500 0.500
```

Computed properties:
SG: P4/mmm
V in Å³ per atom: 27.4
Calculated density in g/cm³: 6.12
ΔH_f (0 K) in kJ/mol of formula units: 369

***

# 2
An optimized crystal structure of LiIrW3. Source: Alexandria, functional GGA-PBE.

POSCAR file:
```
LiIrW3
1.0
4.794 0.000 0.000
0.000 4.794 0.000
0.000 0.000 4.794
Li Ir W
1 1 3
direct
0.000 0.000 0.000
0.500 0.500 0.500
0.000 0.500 0.500
0.500 0.000 0.500
0.500 0.500 0.000
```

Computed properties:
SG: Pm-3m
V in Å³ per atom: 22.0
Calculated density in g/cm³: 11.31
ΔH_f (0 K) in kJ/mol of formula units: 908

***

# 3
An optimized crystal structure of LiInSn2H. Source: Alexandria, functional GGA-PBE.

POSCAR file:
```
LiInSn2H
1.0
4.843 0.000 0.000
0.000 4.843 0.000
0.000 0.000 4.319
Li In Sn H
1 1 2 1
direct
0.000 0.000 0.000
0.500 0.500 0.000
0.000 0.500 0.500
0.500 0.000 0.500
0.000 0.000 0.500
```

Computed properties:
SG: P4/mmm
V in Å³ per atom: 20.3
Calculated density in g/cm³: 5.90
Total energy in eV/f.u.: -15.80

***

# 4
An optimized crystal structure of SrCaSc2Ir. Source: Alexandria, functional GGA-PBE.

POSCAR file:
```
SrCaSc2Ir
1.0
5.157 0.000 0.000
0.000 5.157 0.000
0.000 0.000 5.718
Sr Ca Sc Ir
1 1 2 1
direct
0.000 0.000 0.000
0.500 0.500 0.000
0.000 0.500 0.500
0.500 0.000 0.500
0.500 0.500 0.500
```

Computed properties:
SG: P4/mmm
V in Å³ per atom: 30.4
Calculated density in g/cm³: 4.48
ΔH_f (0 K) in kJ/mol of formula units: -131

***

Q: The lowest V belongs to which entry?
A: LiInSn2H